1) This record from Alexandria describes crystalline NaCuPt3 at its relaxed geometry. The functional is PBE.

a = 4.595 Å, b = 4.595 Å, c = 4.595 Å
α = 90.00°, β = 90.00°, γ = 90.00°
Positions (direct):
Na: 0.000 0.000 0.000
Pt: 0.500 0.000 0.000
Pt: 0.000 0.000 0.500
Pt: 0.000 0.500 0.000
Cu: 0.500 0.500 0.500

Density of states at the Fermi level, states/eV/f.u.: 6.0


2) This record from Alexandria describes crystalline NaCuPt3 at its relaxed geometry. The functional is PBE.

a = 4.657 Å, b = 4.657 Å, c = 4.657 Å
α = 90.00°, β = 90.00°, γ = 90.00°
Positions (direct):
Pt: 0.500 0.000 0.000
Pt: 0.000 0.500 0.000
Pt: 0.000 0.000 0.500
Na: 0.500 0.500 0.500
Cu: 0.000 0.000 0.000

Density of states at the Fermi level, states/eV/f.u.: 3.9


Structures ranked by computed energy, the most stable listed first: 2), 1).